--- 1 ---
A relaxed MnAsBr2F crystal, computed with PBE with a Hubbard U.

Calculated values
DOS(E_F) ... 5.05 states/eV/f.u.
Size of the total moment ... 3.25 Bohr magnetons per cell
Symmetry ... P4/mmm (123)

Unit cell a=4.999 b=4.999 c=5.212 alpha=90.00 beta=90.00 gamma=90.00
Fractional coordinates of all 5 atoms:
1 As 0.000 0.000 0.500
2 F 0.500 0.500 0.500
3 Br 0.000 0.500 0.000
4 Br 0.500 0.000 0.000
5 Mn 0.000 0.000 0.000

--- 2 ---
A relaxed MnAsBr2F crystal, computed with PBE with a Hubbard U.

Calculated values
DOS(E_F) ... 3.10 states/eV/f.u.
Size of the total moment ... 5.33 Bohr magnetons per cell
Symmetry ... P4/mmm (123)

Unit cell a=5.582 b=5.582 c=3.917 alpha=90.00 beta=90.00 gamma=90.00
Fractional coordinates of all 5 atoms:
1 F 0.000 0.000 0.000
2 Mn 0.500 0.500 0.500
3 Br 0.000 0.500 0.000
4 As 0.000 0.000 0.500
5 Br 0.500 0.000 0.000

Most stable = 2